VASP calculation (meta-GGA SCAN) on a PBEsol-optimized structure of Y3CuAg.

The structure in CIF format:
```
data_Y3CuAg
_chemical_formula_sum 'Y3 Cu1 Ag1'
_symmetry_space_group_name_H-M 'P 1'
_symmetry_Int_Tables_number 1
_cell_length_a 5.401
_cell_length_b 5.401
_cell_length_c 5.401
_cell_angle_alpha 90.00
_cell_angle_beta 90.00
_cell_angle_gamma 90.00
loop_
_symmetry_equiv_pos_as_xyz
'x,y,z'
loop_
_atom_site_label
_atom_site_type_symbol
_atom_site_fract_x
_atom_site_fract_y
_atom_site_fract_z
Y1 Y 0.000 0.000 0.500
Y2 Y 0.000 0.500 0.000
Y3 Y 0.500 0.000 0.000
Cu1 Cu 0.500 0.500 0.500
Ag1 Ag 0.000 0.000 0.000
```

## Properties
**Energy of formation from the pure elements**: 49.8 kJ/mol of atoms
**V**: 31.502 Å³ per atom


VASP calculation (meta-GGA SCAN) on a PBEsol-optimized structure of Y2CuAg.

The structure in CIF format:
```
data_Y2CuAg
_chemical_formula_sum 'Y2 Cu1 Ag1'
_symmetry_space_group_name_H-M 'P 1'
_symmetry_Int_Tables_number 1
_cell_length_a 4.961
_cell_length_b 4.961
_cell_length_c 4.961
_cell_angle_alpha 60.00
_cell_angle_beta 60.00
_cell_angle_gamma 60.00
loop_
_symmetry_equiv_pos_as_xyz
'x,y,z'
loop_
_atom_site_label
_atom_site_type_symbol
_atom_site_fract_x
_atom_site_fract_y
_atom_site_fract_z
Y1 Y 0.250 0.250 0.250
Y2 Y 0.750 0.750 0.750
Cu1 Cu 0.000 0.000 0.000
Ag1 Ag 0.500 0.500 0.500
```

## Properties
**Energy of formation from the pure elements**: -33.2 kJ/mol of atoms
**V**: 21.581 Å³ per atom
**Relative energy among the computed polymorphs**: 0.000 eV per atom


VASP calculation (meta-GGA SCAN) on a PBEsol-optimized structure of Y2CuAg.

The structure in CIF format:
```
data_Y2CuAg
_chemical_formula_sum 'Y2 Cu1 Ag1'
_symmetry_space_group_name_H-M 'P 1'
_symmetry_Int_Tables_number 1
_cell_length_a 3.688
_cell_length_b 4.588
_cell_length_c 5.570
_cell_angle_alpha 90.00
_cell_angle_beta 109.15
_cell_angle_gamma 90.00
loop_
_symmetry_equiv_pos_as_xyz
'x,y,z'
loop_
_atom_site_label
_atom_site_type_symbol
_atom_site_fract_x
_atom_site_fract_y
_atom_site_fract_z
Y1 Y 0.000 0.000 0.000
Y2 Y 0.281 0.500 0.565
Cu1 Cu 0.716 0.000 0.435
Ag1 Ag 0.567 0.500 0.133
```

## Properties
**Energy of formation from the pure elements**: -31.9 kJ/mol of atoms
**V**: 22.258 Å³ per atom
**Relative energy among the computed polymorphs**: 0.013 eV per atom


VASP calculation (meta-GGA SCAN) on a PBEsol-optimized structure of Y2Cu2Ag.

The structure in CIF format:
```
data_Y2Cu2Ag
_chemical_formula_sum 'Y4 Cu4 Ag2'
_symmetry_space_group_name_H-M 'P 1'
_symmetry_Int_Tables_number 1
_cell_length_a 7.213
_cell_length_b 7.213
_cell_length_c 3.762
_cell_angle_alpha 90.00
_cell_angle_beta 90.00
_cell_angle_gamma 90.00
loop_
_symmetry_equiv_pos_as_xyz
'x,y,z'
loop_
_atom_site_label
_atom_site_type_symbol
_atom_site_fract_x
_atom_site_fract_y
_atom_site_fract_z
Y1 Y 0.177 0.323 0.000
Y2 Y 0.323 0.823 0.000
Y3 Y 0.677 0.177 0.000
Y4 Y 0.823 0.677 0.000
Cu1 Cu 0.120 0.620 0.500
Cu2 Cu 0.380 0.120 0.500
Cu3 Cu 0.620 0.880 0.500
Cu4 Cu 0.880 0.380 0.500
Ag1 Ag 0.000 0.000 0.500
Ag2 Ag 0.500 0.500 0.500
```

## Properties
**Energy of formation from the pure elements**: -29.6 kJ/mol of atoms
**V**: 19.572 Å³ per atom


VASP calculation (meta-GGA SCAN) on a PBEsol-optimized structure of ZnCu2Ag.

The structure in CIF format:
```
data_ZnCu2Ag
_chemical_formula_sum 'Zn1 Cu2 Ag1'
_symmetry_space_group_name_H-M 'P 1'
_symmetry_Int_Tables_number 1
_cell_length_a 4.564
_cell_length_b 4.564
_cell_length_c 4.564
_cell_angle_alpha 131.10
_cell_angle_beta 131.10
_cell_angle_gamma 71.66
loop_
_symmetry_equiv_pos_as_xyz
'x,y,z'
loop_
_atom_site_label
_atom_site_type_symbol
_atom_site_fract_x
_atom_site_fract_y
_atom_site_fract_z
Zn1 Zn 0.000 0.000 0.000
Cu1 Cu 0.250 0.750 0.500
Cu2 Cu 0.750 0.250 0.500
Ag1 Ag 0.500 0.500 0.000
```

## Properties
**Energy of formation from the pure elements**: 2.5 kJ/mol of atoms
**V**: 13.204 Å³ per atom


VASP calculation (meta-GGA SCAN) on a PBEsol-optimized structure of ZnCuAg2.

The structure in CIF format:
```
data_ZnCuAg2
_chemical_formula_sum 'Zn1 Cu1 Ag2'
_symmetry_space_group_name_H-M 'P 1'
_symmetry_Int_Tables_number 1
_cell_length_a 4.807
_cell_length_b 4.807
_cell_length_c 4.807
_cell_angle_alpha 132.93
_cell_angle_beta 132.93
_cell_angle_gamma 68.76
loop_
_symmetry_equiv_pos_as_xyz
'x,y,z'
loop_
_atom_site_label
_atom_site_type_symbol
_atom_site_fract_x
_atom_site_fract_y
_atom_site_fract_z
Zn1 Zn 0.000 0.000 0.000
Cu1 Cu 0.250 0.750 0.500
Ag1 Ag 0.500 0.500 0.000
Ag2 Ag 0.750 0.250 0.500
```

## Properties
**Energy of formation from the pure elements**: 3.7 kJ/mol of atoms
**V**: 14.611 Å³ per atom


> What is the formula in the sixth record?

ZnCuAg2


> What is the formula in the sixth record?

ZnCuAg2


> Number 5 is which compound?

ZnCu2Ag


> Which formula does entry 4 have?

Y2Cu2Ag